Record 1
Compound: ThSc2AlPd4
Source: the Alexandria database
Functional: GGA-PBE
Structure: relaxed

Lattice parameters (Å, degrees): 4.6060 4.6060 24.8959 90.00 90.00 120.00
Closest atoms and distances in Å follow each position.
Space group R-3m (No. 166, hexagonal axes)
One atom of each set of equivalent atoms:
Th: 0.0000 0.0000 0.0000 x3  8 Pd 3.09-3.22
Sc: 0.0000 0.0000 0.2392 x6  7 Pd 2.74-2.80
Al: 0.0000 0.0000 0.5000 x3  8 Pd 2.58-2.82
Pd: 0.0000 0.0000 0.1292 x6  4 Sc 2.74-2.80, 3 Al 2.82
Pd: 0.0000 0.0000 0.3965 x6  1 Al 2.58, 3 Sc 2.77

---

Record 2
Compound: ScZn2Br
Source: the Alexandria database
Functional: GGA-PBE
Structure: relaxed

distance to the lowest polymorph of the same formula	203	meV/atom

Lattice parameters (Å, degrees): 4.2268 4.2268 8.8272 90.00 90.00 90.00
Closest atoms and distances in Å follow each position.
Space group I-4m2 (No. 119)
One atom of each set of equivalent atoms:
Sc: 0.0000 0.0000 0.0000 x2  8 Zn 2.99-3.06, 4 Br 3.06
Zn: 0.0000 0.0000 0.5000 x2  4 Sc 2.99, 4 Br 3.06, 4 Zn 3.06
Zn: 0.0000 0.5000 0.7500 x2  4 Br 2.99, 4 Sc 3.06, 4 Zn 3.06
Br: 0.0000 0.5000 0.2500 x2  8 Zn 2.99-3.06, 4 Sc 3.06

---

Record 3
Compound: BaNiBr2
Source: the Alexandria database
Functional: GGA-PBE
Structure: relaxed

distance to the lowest polymorph of the same formula	23	meV/atom

Lattice parameters (Å, degrees): 4.2721 4.6310 11.9208 90.00 90.00 90.00
Closest atoms and distances in Å follow each position.
Space group Amm2 (No. 38)
One atom of each set of equivalent atoms:
Ba: 0.0000 0.0000 0.0000 x2  7 Br 3.34-3.56, 4 Ni 3.39
Ni: 0.5000 0.0000 0.6054 x2  3 Br 2.37-2.42
Br: 0.0000 0.0000 0.7014 x2  2 Ni 2.42
Br: 0.5000 0.0000 0.4068 x2  1 Ni 2.37

---

Record 4
Compound: BaLi2SbF8
Source: the Alexandria database
Functional: GGA-PBE
Structure: relaxed

Lattice parameters (Å, degrees): 7.9968 5.8281 8.2457 90.00 93.20 90.00
Closest atoms and distances in Å follow each position.
Space group C2/m (No. 12)
One atom of each set of equivalent atoms:
Ba: 0.0000 0.0000 0.0000 x2  6 F 2.59-2.85
Li: 0.1192 0.5000 0.2734 x4  4 F 1.81-1.93
Sb: 0.0000 0.0000 0.5000 x2  6 F 2.03-2.08
F: 0.0024 0.2275 0.6940 x8  1 Li 1.89, 1 Sb 2.08
F: 0.1882 0.5000 0.0685 x4  1 Li 1.81
F: 0.2461 0.5000 0.4792 x4  1 Li 1.93, 1 Sb 2.03

---

Record 5
Compound: CaTaZn3
Source: the Alexandria database
Functional: GGA-PBE
Structure: relaxed

distance to the lowest polymorph of the same formula	1050	meV/atom

Lattice parameters (Å, degrees): 4.8471 4.8471 4.8471 90.00 90.00 90.00
Closest atoms and distances in Å follow each position.
Space group Pm-3m (No. 221)
One atom of each set of equivalent atoms:
Ca: 0.0000 0.0000 0.0000 x1  6 Zn 2.42
Ta: 0.5000 0.5000 0.5000 x1  12 Zn 3.43
Zn: 0.0000 0.0000 0.5000 x3  2 Ca 2.42

---

Record 6
Compound: MnNiTe2
Source: the Alexandria database
Functional: GGA-PBE
Structure: relaxed

Lattice parameters (Å, degrees): 5.7889 5.7889 11.3052 90.00 90.00 90.00
Closest atoms and distances in Å follow each position.
Space group I-42d (No. 122)
One atom of each set of equivalent atoms:
Mn: 0.0000 0.0000 0.0000 x4  4 Te 2.48
Ni: 0.0000 0.0000 0.5000 x4  4 Te 2.50
Te: 0.2473 0.2500 0.1250 x8  2 Mn 2.48, 2 Ni 2.50

---

Record 7
Compound: NaIn4Ag7
Source: the Alexandria database
Functional: GGA-PBE
Structure: relaxed

distance to the lowest polymorph of the same formula	0	meV/atom

Lattice parameters (Å, degrees): 5.4161 5.4287 8.8482 100.16 91.58 96.36
Closest atoms and distances in Å follow each position.
Space group P-1 (No. 2)
One atom of each set of equivalent atoms:
Na: 0.0000 0.0000 0.0000 x1  2 Ag 2.71
In: 0.1233 0.4380 0.6843 x2  7 Ag 2.86-3.06, 2 In 3.15
In: 0.3992 0.8050 0.2333 x2  8 Ag 2.82-3.13, 2 In 3.15
Ag: 0.0000 0.5000 0.0000 x1  2 Na 2.71, 2 In 2.86, 2 Ag 2.92
Ag: 0.2139 0.8970 0.5545 x2  4 Ag 2.90-3.13, 5 In 2.91-3.06
Ag: 0.3245 0.3222 0.3832 x2  5 Ag 2.86-3.13, 4 In 2.90-3.13
Ag: 0.4779 0.7287 0.9156 x2  4 In 2.82-3.12, 4 Ag 2.86-3.14, 1 Na 3.05

---

Record 8
Compound: Y4TmBi2
Source: the Alexandria database
Functional: GGA-PBE
Structure: relaxed

Lattice parameters (Å, degrees): 5.3200 5.3200 16.7496 90.00 90.00 90.00
Closest atoms and distances in Å follow each position.
Space group I4/mmm (No. 139)
One atom of each set of equivalent atoms:
Y: 0.0000 0.0000 0.1816 x4  1 Tm 3.04, 1 Bi 3.08
Y: 0.0000 0.5000 0.0000 x4  2 Tm 2.66
Tm: 0.0000 0.0000 0.0000 x2  4 Y 2.66
Bi: 0.0000 0.0000 0.3655 x4  1 Y 3.08

---

Record 9
Compound: K3Ga2H6
Source: the Alexandria database
Functional: GGA-PBE
Structure: relaxed

Lattice parameters (Å, degrees): 6.3406 6.2505 9.8104 90.00 107.32 90.00
Closest atoms and distances in Å follow each position.
Space group C2/m (No. 12)
One atom of each set of equivalent atoms:
K: 0.0000 0.0000 0.0000 x2  8 H 2.80-2.84
K: 0.1965 0.0000 0.3550 x4  6 H 2.72-2.91
Ga: 0.1101 0.5000 0.1671 x4  3 H 1.70-1.77
H: 0.1285 0.5000 0.3511 x4  1 Ga 1.77
H: 0.2062 0.2030 0.8195 x8  1 Ga 1.70

---

Record 10
Compound: HfNb2V
Source: the Alexandria database
Functional: GGA-PBE
Structure: relaxed

distance to the lowest polymorph of the same formula	71	meV/atom

Lattice parameters (Å, degrees): 6.5879 6.5879 6.5879 90.00 90.00 90.00
Closest atoms and distances in Å follow each position.
Space group Fm-3m (No. 225)
One atom of each set of equivalent atoms:
Hf: 0.0000 0.0000 0.0000 x4  8 Nb 2.85
Nb: 0.2500 0.2500 0.2500 x8  4 Hf 2.85, 4 V 2.85
V: 0.0000 0.0000 0.5000 x4  8 Nb 2.85

---

Record 11
Compound: AcLaInIr
Source: the Alexandria database
Functional: GGA-PBE
Structure: relaxed

Lattice parameters (Å, degrees): 7.6691 7.6691 7.6691 90.00 90.00 90.00
Closest atoms and distances in Å follow each position.
Space group F-43m (No. 216)
One atom of each set of equivalent atoms:
Ac: 0.0000 0.0000 0.0000 x4  4 In 3.32, 4 Ir 3.32
La: 0.0000 0.0000 0.5000 x4  4 In 3.32, 4 Ir 3.32
In: 0.2500 0.2500 0.7500 x4  4 Ac 3.32, 4 La 3.32
Ir: 0.2500 0.2500 0.2500 x4  4 Ac 3.32, 4 La 3.32

---

Record 12
Compound: Nd3Sb4Pt7
Source: the Alexandria database
Functional: GGA-PBE
Structure: relaxed

Lattice parameters (Å, degrees): 16.7614 4.3236 10.5502 90.00 128.79 90.00
Closest atoms and distances in Å follow each position.
Space group C2/m (No. 12)
One atom of each set of equivalent atoms:
Nd: 0.0000 0.0000 0.0000 x2  6 Pt 3.27-3.32, 6 Sb 3.39-3.49
Nd: 0.1713 0.5000 0.6844 x4  8 Pt 2.99-3.23, 2 Sb 3.29
Sb: 0.1393 0.0000 0.4097 x4  6 Pt 2.72-3.02
Sb: 0.1732 0.5000 0.0264 x4  4 Pt 2.61-2.79
Pt: 0.0000 0.0000 0.5000 x2  6 Pt 2.85-2.99, 2 Sb 3.02, 4 Nd 3.12
Pt: 0.0161 0.5000 0.3219 x4  3 Sb 2.72-2.99, 5 Pt 2.84-2.99, 1 Nd 2.99
Pt: 0.1223 0.0000 0.8455 x4  3 Sb 2.65-2.79, 3 Pt 2.84-2.85
Pt: 0.1693 0.5000 0.2704 x4  4 Sb 2.61-2.85

---

Record 13
Compound: TePd6Pt23
Source: the Alexandria database
Functional: GGA-PBE
Structure: relaxed

Lattice parameters (Å, degrees): 12.5551 12.5551 12.5551 90.00 90.00 90.00
Closest atoms and distances in Å follow each position.
Space group Fm-3m (No. 225)
One atom of each set of equivalent atoms:
Te: 0.0000 0.0000 0.0000 x4  6 Pd 3.01, 8 Pt 3.07
Pd: 0.0000 0.0000 0.2394 x24  8 Pt 2.79-2.80, 1 Te 3.01
Pt: 0.0000 0.0000 0.5000 x4  8 Pt 2.73
Pt: 0.0000 0.2500 0.2500 x24  8 Pt 2.62-2.72
Pt: 0.1253 0.1253 0.3747 x32  7 Pt 2.72-2.95, 3 Pd 2.80
Pt: 0.1410 0.1410 0.1410 x32  3 Pt 2.62, 3 Pd 2.79

---

Record 14
Compound: Ga2Pd
Source: the Alexandria database
Functional: GGA-PBE
Structure: relaxed

Lattice parameters (Å, degrees): 5.8010 3.9250 8.6036 90.00 90.00 90.00
Closest atoms and distances in Å follow each position.
Space group Pnma (No. 62)
One atom of each set of equivalent atoms:
Ga: 0.0564 0.2500 0.1548 x4  4 Pd 2.67-2.71, 3 Ga 2.77-2.79
Ga: 0.1615 0.2500 0.5300 x4  4 Pd 2.61-2.67, 5 Ga 2.76-2.79
Pd: 0.2357 0.7500 0.3264 x4  8 Ga 2.61-2.71

---

Record 15
Compound: ScCdNi
Source: the Alexandria database
Functional: GGA-PBE
Structure: relaxed

Lattice parameters (Å, degrees): 6.3705 6.3705 6.3705 90.00 90.00 90.00
Closest atoms and distances in Å follow each position.
Space group F-43m (No. 216)
One atom of each set of equivalent atoms:
Sc: 0.0000 0.0000 0.0000 x4  4 Cd 2.76, 4 Ni 2.76
Cd: 0.2500 0.2500 0.7500 x4  4 Sc 2.76
Ni: 0.2500 0.2500 0.2500 x4  4 Sc 2.76

---

Record 16
Compound: SrLaAs2Rh5
Source: the Alexandria database
Functional: GGA-PBE
Structure: relaxed

Lattice parameters (Å, degrees): 4.2730 4.2730 9.3010 90.00 90.00 90.00
Closest atoms and distances in Å follow each position.
Space group P4/mmm (No. 123)
One atom of each set of equivalent atoms:
Sr: 0.0000 0.0000 0.0000 x1  8 Rh 3.31, 8 As 3.35
La: 0.0000 0.0000 0.5000 x1  12 Rh 3.01-3.02
As: 0.5000 0.5000 0.1562 x2  4 Rh 2.39
Rh: 0.0000 0.5000 0.2720 x4  2 As 2.39
Rh: 0.5000 0.5000 0.5000 x1  8 Rh 3.01, 4 La 3.02, 2 As 3.20

---

Record 17
Compound: ZnAuSe2
Source: the Alexandria database
Functional: GGA-PBE
Structure: relaxed

Lattice parameters (Å, degrees): 5.1935 13.2567 2.6865 90.00 90.57 90.00
Closest atoms and distances in Å follow each position.
Space group C2/m (No. 12)
One atom of each set of equivalent atoms:
Zn: 0.0000 0.0000 0.0000 x2  2 Au 2.60, 2 Zn 2.69
Au: 0.0000 0.5000 0.0000 x2  2 Zn 2.60, 2 Au 2.69
Se: 0.2500 0.2500 0.5000 x4  4 Se 2.60-2.69

---

Record 18
Compound: RbGeSb2
Source: the Alexandria database
Functional: GGA-PBE
Structure: relaxed

Lattice parameters (Å, degrees): 3.9605 3.9605 28.2493 90.00 90.00 120.00
Closest atoms and distances in Å follow each position.
Space group R-3m (No. 166, hexagonal axes)
One atom of each set of equivalent atoms:
Rb: 0.0000 0.0000 0.0000 x3  6 Sb 3.76, 6 Rb 3.96
Ge: 0.0000 0.0000 0.5000 x3  6 Sb 2.86
Sb: 0.0000 0.0000 0.2276 x6  3 Ge 2.86

---

Record 19
Compound: PrHg4Pd8
Source: the Alexandria database
Functional: GGA-PBE
Structure: relaxed

Lattice parameters (Å, degrees): 9.1975 9.1975 5.8413 90.00 90.00 90.00
Closest atoms and distances in Å follow each position.
Space group I4/mmm (No. 139)
One atom of each set of equivalent atoms:
Pr: 0.0000 0.0000 0.0000 x2  12 Pd 3.18-3.55, 8 Hg 3.56
Hg: 0.2500 0.2500 0.2500 x8  8 Pd 2.74-2.86, 2 Hg 2.92
Pd: 0.0000 0.2192 0.5000 x8  4 Hg 2.74, 4 Pd 2.85-2.95
Pd: 0.0000 0.3461 0.0000 x8  5 Pd 2.83-3.14, 4 Hg 2.86

---

Record 20
Compound: SrCu2AsPd4
Source: the Alexandria database
Functional: GGA-PBE
Structure: relaxed

Lattice parameters (Å, degrees): 4.3403 4.3403 26.4743 90.00 90.00 120.00
Closest atoms and distances in Å follow each position.
Space group R-3m (No. 166, hexagonal axes)
One atom of each set of equivalent atoms:
Sr: 0.0000 0.0000 0.0000 x3  8 Pd 3.19-3.56, 6 Cu 3.45
Cu: 0.0000 0.0000 0.2438 x6  6 Pd 2.54-2.77
As: 0.0000 0.0000 0.5000 x3  8 Pd 2.44-2.65
Pd: 0.0000 0.0000 0.1344 x6  3 As 2.65, 4 Cu 2.77-2.89
Pd: 0.0000 0.0000 0.4079 x6  1 As 2.44, 3 Cu 2.54

---

Record 21
Compound: TiAlH2
Source: the Alexandria database
Functional: GGA-PBE
Structure: relaxed

distance to the lowest polymorph of the same formula	0	meV/atom

Lattice parameters (Å, degrees): 4.1794 4.1794 8.8235 90.00 90.00 90.00
Closest atoms and distances in Å follow each position.
Space group I-42d (No. 122)
One atom of each set of equivalent atoms:
Ti: 0.0000 0.0000 0.0000 x4  4 H 1.80
Al: 0.0000 0.0000 0.5000 x4  4 H 1.89
H: 0.2319 0.2500 0.1250 x8  2 Ti 1.80, 2 Al 1.89

---

Record 22
Compound: NaTlSn4
Source: the Alexandria database
Functional: GGA-PBE
Structure: relaxed

distance to the lowest polymorph of the same formula	72	meV/atom

Lattice parameters (Å, degrees): 8.9307 8.9307 8.9307 90.00 90.00 90.00
Closest atoms and distances in Å follow each position.
Space group F-43m (No. 216)
One atom of each set of equivalent atoms:
Na: 0.0000 0.0000 0.0000 x4  12 Sn 3.70, 4 Tl 3.87
Tl: 0.2500 0.2500 0.2500 x4  12 Sn 3.70, 4 Na 3.87
Sn: 0.1249 0.1249 0.6249 x16  6 Sn 3.16

---

Record 23
Compound: LiY2TlC
Source: the Alexandria database
Functional: GGA-PBE
Structure: relaxed

Lattice parameters (Å, degrees): 4.9198 4.9198 4.4266 90.00 90.00 90.00
Closest atoms and distances in Å follow each position.
Space group P4/mmm (No. 123)
One atom of each set of equivalent atoms:
Li: 0.0000 0.0000 0.0000 x1  2 C 2.21
Y: 0.0000 0.5000 0.5000 x2  2 C 2.46
Tl: 0.5000 0.5000 0.0000 x1  8 Y 3.31, 4 Li 3.48
C: 0.0000 0.0000 0.5000 x1  2 Li 2.21, 4 Y 2.46

---

Record 24
Compound: CdP2PdCl
Source: the Alexandria database
Functional: GGA-PBE
Structure: relaxed

distance to the lowest polymorph of the same formula	0	meV/atom

Lattice parameters (Å, degrees): 4.6814 4.6814 5.0956 90.00 90.00 90.00
Closest atoms and distances in Å follow each position.
Space group P4/mmm (No. 123)
One atom of each set of equivalent atoms:
Cd: 0.0000 0.0000 0.0000 x1  4 Cl 3.31, 8 P 3.46
P: 0.0000 0.5000 0.5000 x2  2 Pd 2.34
Pd: 0.5000 0.5000 0.5000 x1  4 P 2.34, 2 Cl 2.55
Cl: 0.5000 0.5000 0.0000 x1  2 Pd 2.55

---

Table of calculated total energy (eV per atom), in record order: -6.410, -2.829, -3.780, -4.903, -1.930, -5.090, -2.683, -5.180, -2.761, -9.665, -5.510, -6.111, -5.676, -4.183, -4.034, -6.547, -2.646, -3.413, -3.890, -4.700, -4.704, -3.290, -5.486, -3.332